--- 1 ---
This record from the Alexandria database describes La2DyCu after structural relaxation. The functional is GGA-PBE.

Lattice parameters (Å, degrees): 3.7056 3.7056 8.6181 90.00 90.00 90.00
Sites, in units of the cell vectors:
La  0.0000  0.0000  0.7958
La  0.0000  0.0000  0.2042
Cu  0.5000  0.5000  0.0000
Dy  0.5000  0.5000  0.5000

Computed properties:
Fermi-level density of states: 6.31 states/eV/cell
Calculated density: 7.07 g/cm3
Total moment: 0.0 Bohr magnetons per cell
Space group: No. 123

***

--- 2 ---
This record from the Alexandria database describes La2DyCu after structural relaxation. The functional is GGA-PBE.

Lattice parameters (Å, degrees): 6.5864 7.1227 10.2108 90.00 90.00 90.00
Sites, in units of the cell vectors:
La  0.1752  0.6971  0.0596
La  0.3248  0.1971  0.4404
La  0.8248  0.3029  0.5596
La  0.6752  0.8029  0.9404
La  0.8248  0.3029  0.9404
La  0.6752  0.8029  0.5596
La  0.1752  0.6971  0.4404
La  0.3248  0.1971  0.0596
Dy  0.6493  0.5303  0.2500
Dy  0.8507  0.0303  0.2500
Dy  0.3507  0.4697  0.7500
Dy  0.1493  0.9697  0.7500
Cu  0.0552  0.3962  0.2500
Cu  0.4448  0.8962  0.2500
Cu  0.9448  0.6038  0.7500
Cu  0.5552  0.1038  0.7500

Computed properties:
Fermi-level density of states: 17.93 states/eV/cell
Calculated density: 6.99 g/cm3
Total moment: 0.0 Bohr magnetons per cell
Space group: No. 62

***

--- 3 ---
This record from the Alexandria database describes La2DyCu after structural relaxation. The functional is GGA-PBE.

Lattice parameters (Å, degrees): 3.5633 3.5633 11.2437 80.88 80.88 60.00
Sites, in units of the cell vectors:
La  0.1013  0.1013  0.6961
La  0.8987  0.8987  0.3039
Cu  0.5000  0.5000  0.5000
Dy  0.0000  0.0000  0.0000

Computed properties:
Fermi-level density of states: 6.40 states/eV/cell
Calculated density: 6.88 g/cm3
Total moment: 0.0 Bohr magnetons per cell
Space group: No. 166

***

--- 4 ---
This record from the Alexandria database describes La2DyCu after structural relaxation. The functional is GGA-PBE.

Lattice parameters (Å, degrees): 3.7546 3.7546 10.2715 79.47 79.47 60.00
Sites, in units of the cell vectors:
La  0.0700  0.0700  0.7901
La  0.2636  0.2636  0.2093
Dy  0.4991  0.4991  0.5026
Cu  0.6674  0.6674  0.9979

Computed properties:
Fermi-level density of states: 4.52 states/eV/cell
Calculated density: 6.83 g/cm3
Total moment: 0.0 Bohr magnetons per cell
Space group: No. 160

***

Ordering by calculated energy gives the sequence 2, 1, 4, 3, with the first entry being the most stable.

***

--- 1 ---
This record from the Alexandria database describes LaDyCu4 after structural relaxation. The functional is GGA-PBE.

Lattice parameters (Å, degrees): 3.9417 3.9417 8.2069 103.90 103.90 90.00
Sites, in units of the cell vectors:
La  0.2500  0.7500  0.5000
Dy  0.0000  0.0000  0.0000
Cu  0.6671  0.1671  0.3342
Cu  0.5780  0.5780  0.1559
Cu  0.8329  0.3329  0.6658
Cu  0.4220  0.4220  0.8441

Computed properties:
Fermi-level density of states: 3.12 states/eV/cell
Calculated density: 7.69 g/cm3
Total moment: 0.0 Bohr magnetons per cell
Space group: No. 119

***

--- 2 ---
This record from the Alexandria database describes LaDyCu4 after structural relaxation. The functional is GGA-PBE.

Lattice parameters (Å, degrees): 5.3432 5.3432 5.3432 60.00 60.00 60.00
Sites, in units of the cell vectors:
La  0.0000  0.0000  0.0000
Cu  0.6235  0.6235  0.1294
Cu  0.6235  0.1294  0.6235
Cu  0.6235  0.6235  0.6235
Cu  0.1294  0.6235  0.6235
Dy  0.2500  0.2500  0.2500

Computed properties:
Fermi-level density of states: 4.40 states/eV/cell
Calculated density: 8.55 g/cm3
Total moment: 0.0 Bohr magnetons per cell
Space group: No. 216

***

Ordering by calculated energy gives the sequence 1, 2, with the first entry being the most stable.

***

--- 1 ---
This record from the Alexandria database describes LaDyCu2 after structural relaxation. The functional is GGA-PBE.

Lattice parameters (Å, degrees): 3.5362 3.5362 7.1976 90.00 90.00 90.00
Sites, in units of the cell vectors:
La  0.5000  0.5000  0.5000
Cu  0.0000  0.0000  0.7783
Cu  0.0000  0.0000  0.2217
Dy  0.5000  0.5000  0.0000

Computed properties:
Fermi-level density of states: 2.60 states/eV/cell
Calculated density: 7.91 g/cm3
Total moment: 0.0 Bohr magnetons per cell
Space group: No. 123

***

--- 2 ---
This record from the Alexandria database describes LaDyCu2 after structural relaxation. The functional is GGA-PBE.

Lattice parameters (Å, degrees): 5.0475 5.0475 5.0475 60.00 60.00 60.00
Sites, in units of the cell vectors:
La  0.5000  0.5000  0.5000
Cu  0.2500  0.2500  0.2500
Cu  0.7500  0.7500  0.7500
Dy  0.0000  0.0000  0.0000

Computed properties:
Fermi-level density of states: 3.95 states/eV/cell
Calculated density: 7.82 g/cm3
Total moment: 0.0 Bohr magnetons per cell
Space group: No. 225

***

Ordering by calculated energy gives the sequence 1, 2, with the first entry being the most stable.